# 1
## KFe2Co (SCAN)

Data for a crystal of KFe2Co relaxed with PBEsol.

Results
* N(E_F): 2.2 states/eV per cell
* energy above the most stable polymorph in this dataset: 607 meV per atom
* space-group type: Cmmm (65)

Cell: 5.146 5.146 2.503 Å, 90.00 90.00 118.08°
Element x y z (fractional)
K1 0.000 0.000 0.000
Fe1 0.000 0.500 0.500
Fe2 0.500 0.000 0.500
Co1 0.500 0.500 0.000

# 2
## K2FeCoTe (SCAN)

Data for a crystal of K2FeCoTe relaxed with PBEsol.

Results
* uncorrected formation energy: 2.79 eV/f.u.
* N(E_F): 4.4 states/eV per cell
* space-group type: P4/mmm (123)

Cell: 6.115 6.115 4.226 Å, 90.00 90.00 90.00°
Element x y z (fractional)
K1 0.000 0.500 0.000
K2 0.500 0.000 0.000
Fe1 0.000 0.000 0.000
Co1 0.000 0.000 0.500
Te1 0.500 0.500 0.500

# 3
## LaFe2Co2 (SCAN)

Data for a crystal of LaFe2Co2 relaxed with PBEsol.

Results
* final energy: -22.74 eV/atom
* N(E_F): 3.8 states/eV per cell
* space-group type: I4/mmm (139)

Cell: 5.648 5.648 5.648 Å, 139.30 139.30 58.92°
Element x y z (fractional)
La1 0.000 0.000 0.000
Fe1 0.250 0.750 0.500
Fe2 0.750 0.250 0.500
Co1 0.379 0.379 0.000
Co2 0.621 0.621 0.000

# 4
## Sr3La2Fe4CoO15 (SCAN)

Data for a crystal of Sr3La2Fe4CoO15 relaxed with PBEsol.

Results
* uncorrected formation energy: -62.07 eV/f.u.
* N(E_F): 5.4 states/eV per cell
* space-group type: R-3m (166)

Cell: 11.384 11.384 11.384 Å, 27.24 27.24 27.24°
Element x y z (fractional)
Sr1 0.000 0.000 0.000
Sr2 0.199 0.199 0.199
Sr3 0.801 0.801 0.801
La1 0.402 0.402 0.402
La2 0.598 0.598 0.598
Fe1 0.101 0.101 0.101
Fe2 0.300 0.300 0.300
Fe3 0.700 0.700 0.700
Fe4 0.899 0.899 0.899
Co1 0.500 0.500 0.500
O1 0.000 0.500 0.500
O2 0.100 0.100 0.600
O3 0.100 0.600 0.100
O4 0.207 0.699 0.699
O5 0.301 0.301 0.793
O6 0.301 0.793 0.301
O7 0.400 0.900 0.900
O8 0.500 0.000 0.500
O9 0.500 0.500 0.000
O10 0.600 0.100 0.100
O11 0.699 0.207 0.699
O12 0.699 0.699 0.207
O13 0.793 0.301 0.301
O14 0.900 0.400 0.900
O15 0.900 0.900 0.400

# 5
## Sr2La2FeCoO8 (SCAN)

Data for a crystal of Sr2La2FeCoO8 relaxed with PBEsol.

Results
* uncorrected formation energy: -40.03 eV/f.u.
* space-group type: Amm2 (38)

Cell: 5.341 6.787 6.787 Å, 46.33 90.00 90.00°
Element x y z (fractional)
Sr1 0.000 0.000 0.000
Sr2 0.500 0.212 0.212
La1 0.000 0.717 0.717
La2 0.500 0.492 0.492
Fe1 0.500 0.858 0.858
Co1 0.000 0.354 0.354
O1 0.000 0.198 0.198
O2 0.000 0.522 0.522
O3 0.247 0.104 0.604
O4 0.247 0.604 0.104
O5 0.500 0.020 0.020
O6 0.500 0.678 0.678
O7 0.753 0.104 0.604
O8 0.753 0.604 0.104

# 6
## SrLaFeCoO6 (SCAN)

Data for a crystal of SrLaFeCoO6 relaxed with PBEsol.

Results
* uncorrected formation energy: -24.62 eV/f.u.
* N(E_F): 4.2 states/eV per cell
* space-group type: F-43m (216)

Cell: 5.349 5.349 5.349 Å, 60.00 60.00 60.00°
Element x y z (fractional)
Sr1 0.000 0.000 0.000
La1 0.500 0.500 0.500
Fe1 0.750 0.750 0.750
Co1 0.250 0.250 0.250
O1 0.000 0.000 0.500
O2 0.000 0.500 0.000
O3 0.000 0.500 0.500
O4 0.500 0.000 0.000
O5 0.500 0.000 0.500
O6 0.500 0.500 0.000

# 7
## LaYFeCo2 (SCAN)

Data for a crystal of LaYFeCo2 relaxed with PBEsol.

Results
* final energy: -23.74 eV/atom
* N(E_F): 4.6 states/eV per cell
* space-group type: P4/mmm (123)

Cell: 4.711 4.711 4.719 Å, 90.00 90.00 90.00°
Element x y z (fractional)
La1 0.000 0.000 0.000
Y1 0.500 0.500 0.500
Fe1 0.500 0.500 0.000
Co1 0.000 0.500 0.500
Co2 0.500 0.000 0.500

# 8
## LiFeCo2 (SCAN)

Data for a crystal of LiFeCo2 relaxed with PBEsol.

Results
* N(E_F): 2.9 states/eV per cell
* energy above the most stable polymorph in this dataset: 14 meV per atom
* space-group type: Pmmm (47)

Cell: 2.711 3.933 3.986 Å, 90.00 90.00 90.00°
Element x y z (fractional)
Li1 0.000 0.000 0.000
Fe1 0.500 0.000 0.500
Co1 0.000 0.500 0.500
Co2 0.500 0.500 0.000

One value per record, in order, for size of the total moment: 7.231 5.610 7.801 16.056 5.000 4.408 5.326 6.319 Bohr magnetons per cell.
One value per record, in order, for calculated volume: 14.6 31.6 15.2 10.9 12.7 10.8 20.9 10.6 Å³/atom.